Entry 1:
Compound: Pm2Ho3In7
Source: Alexandria
Functional: GGA-PBE
Structure: relaxed

Values from the calculation:
* symmetry: Cmmm
* energy of formation from the pure elements: -0.206 eV per atom

Unit cell a=13.0961 b=13.0961 c=5.3227 alpha=90.00 beta=90.00 gamma=157.21
Fractional coordinates of all 12 atoms:
Pm (0.1470, 0.8530, 0.0000)
Pm (0.8530, 0.1470, 0.0000)
Ho (0.3508, 0.6492, 0.5000)
Ho (0.5000, 0.5000, 0.5000)
Ho (0.6492, 0.3508, 0.5000)
In (0.0000, 0.0000, 0.0000)
In (0.0751, 0.9249, 0.5000)
In (0.2777, 0.7223, 0.0000)
In (0.4292, 0.5708, 0.0000)
In (0.5708, 0.4292, 0.0000)
In (0.7223, 0.2777, 0.0000)
In (0.9249, 0.0751, 0.5000)

=====

Entry 2:
Compound: Mg3AlHg3
Source: Alexandria
Functional: GGA-PBE
Structure: relaxed

Values from the calculation:
* symmetry: C2/m
* energy of formation from the pure elements: -0.086 eV per atom

Unit cell a=6.9324 b=6.9324 c=6.4068 alpha=90.06 beta=90.06 gamma=93.05
Fractional coordinates of all 14 atoms:
Mg (0.0036, 0.0036, 0.2405)
Mg (0.0043, 0.4950, 0.2446)
Mg (0.4950, 0.0043, 0.2446)
Mg (0.5050, 0.9957, 0.7554)
Mg (0.9957, 0.5050, 0.7554)
Mg (0.9964, 0.9964, 0.7595)
Al (0.2668, 0.2668, 0.9912)
Al (0.7332, 0.7332, 0.0088)
Hg (0.2643, 0.7357, 0.5000)
Hg (0.2755, 0.2755, 0.5085)
Hg (0.3284, 0.6716, 0.0000)
Hg (0.6716, 0.3284, 0.0000)
Hg (0.7245, 0.7245, 0.4915)
Hg (0.7357, 0.2643, 0.5000)

=====

Entry 3:
Compound: Sc2CrFe
Source: Alexandria
Functional: GGA-PBE
Structure: relaxed

Values from the calculation:
* symmetry: R3m
* energy above the most stable polymorph in this dataset: 292 meV per atom
* energy of formation from the pure elements: 0.365 eV per atom

Unit cell a=3.0191 b=3.0191 c=26.4952 alpha=90.00 beta=90.00 gamma=120.00
Fractional coordinates of all 12 atoms:
Sc (0.0000, 0.0000, 0.0000)
Sc (0.0000, 0.0000, 0.2240)
Sc (0.3333, 0.6667, 0.6667)
Sc (0.3333, 0.6667, 0.8907)
Sc (0.6667, 0.3333, 0.3333)
Sc (0.6667, 0.3333, 0.5574)
Cr (0.0000, 0.0000, 0.7508)
Cr (0.3333, 0.6667, 0.4174)
Cr (0.6667, 0.3333, 0.0841)
Fe (0.0000, 0.0000, 0.4779)
Fe (0.3333, 0.6667, 0.1445)
Fe (0.6667, 0.3333, 0.8112)

=====

Entry 4:
Compound: Na2GaTcBr
Source: Alexandria
Functional: GGA-PBE
Structure: relaxed

Values from the calculation:
* energy relative to the elements, uncorrected: 37.5 kJ per mole of atoms
* symmetry: P4/mmm

Unit cell a=5.6640 b=5.6640 c=4.8151 alpha=90.00 beta=90.00 gamma=90.00
Fractional coordinates of all 5 atoms:
Na (0.0000, 0.5000, 0.0000)
Na (0.5000, 0.0000, 0.0000)
Ga (0.0000, 0.0000, 0.0000)
Tc (0.0000, 0.0000, 0.5000)
Br (0.5000, 0.5000, 0.5000)

=====

Entry 5:
Compound: GdHfTe2
Source: Alexandria
Functional: GGA-PBE
Structure: relaxed

Values from the calculation:
* energy relative to the elements, uncorrected: -53.3 kJ per mole of atoms
* symmetry: R-3m

Unit cell a=3.9132 b=3.9132 c=29.4761 alpha=90.00 beta=90.00 gamma=120.00
Fractional coordinates of all 12 atoms:
Gd (0.0000, 0.0000, 0.0000)
Gd (0.3333, 0.6667, 0.6667)
Gd (0.6667, 0.3333, 0.3333)
Hf (0.0000, 0.0000, 0.5000)
Hf (0.3333, 0.6667, 0.1667)
Hf (0.6667, 0.3333, 0.8333)
Te (0.0000, 0.0000, 0.1056)
Te (0.0000, 0.0000, 0.8944)
Te (0.3333, 0.6667, 0.5611)
Te (0.3333, 0.6667, 0.7722)
Te (0.6667, 0.3333, 0.2278)
Te (0.6667, 0.3333, 0.4389)

=====

Entry 6:
Compound: Pr3Sb2Pd5
Source: Alexandria
Functional: GGA-PBE
Structure: relaxed

Values from the calculation:
* energy relative to the elements, uncorrected: -62.9 kJ per mole of atoms
* symmetry: Ibam

Unit cell a=9.3757 b=9.3757 c=9.3757 alpha=97.01 beta=95.03 gamma=142.22
Fractional coordinates of all 20 atoms:
Pr (0.1883, 0.6057, 0.7939)
Pr (0.2500, 0.2500, 0.0000)
Pr (0.3117, 0.1057, 0.4174)
Pr (0.6883, 0.8943, 0.5826)
Pr (0.7500, 0.7500, 0.0000)
Pr (0.8117, 0.3943, 0.2061)
Sb (0.1610, 0.8580, 0.0190)
Sb (0.3390, 0.3580, 0.6970)
Sb (0.6610, 0.6420, 0.3030)
Sb (0.8390, 0.1420, 0.9810)
Pd (0.1346, 0.3669, 0.5015)
Pd (0.2500, 0.0036, 0.7536)
Pd (0.2500, 0.4964, 0.2464)
Pd (0.2500, 0.7500, 0.5000)
Pd (0.3654, 0.8669, 0.2323)
Pd (0.6346, 0.1331, 0.7677)
Pd (0.7500, 0.2500, 0.5000)
Pd (0.7500, 0.5036, 0.7536)
Pd (0.7500, 0.9964, 0.2464)
Pd (0.8654, 0.6331, 0.4985)

=====

Entry 7:
Compound: Fe2ReRh2
Source: Alexandria
Functional: GGA-PBE
Structure: relaxed

Values from the calculation:
* symmetry: P4/mbm
* energy above the most stable polymorph in this dataset: 0 meV per atom
* energy of formation from the pure elements: 0.259 eV per atom

Unit cell a=6.9515 b=6.9515 c=2.6854 alpha=90.00 beta=90.00 gamma=90.00
Fractional coordinates of all 10 atoms:
Fe (0.1172, 0.3828, 0.0000)
Fe (0.3828, 0.8828, 0.0000)
Fe (0.6172, 0.1172, 0.0000)
Fe (0.8828, 0.6172, 0.0000)
Re (0.0000, 0.0000, 0.0000)
Re (0.5000, 0.5000, 0.0000)
Rh (0.1782, 0.6782, 0.5000)
Rh (0.3218, 0.1782, 0.5000)
Rh (0.6782, 0.8218, 0.5000)
Rh (0.8218, 0.3218, 0.5000)

=====

Entry 8:
Compound: BaGa2Sn2
Source: Alexandria
Functional: GGA-PBE
Structure: relaxed

Values from the calculation:
* symmetry: P4/mbm
* energy above the most stable polymorph in this dataset: 207 meV per atom
* energy of formation from the pure elements: -0.178 eV per atom

Unit cell a=8.7194 b=8.7194 c=3.6566 alpha=90.00 beta=90.00 gamma=90.00
Fractional coordinates of all 10 atoms:
Ba (0.0000, 0.0000, 0.0000)
Ba (0.5000, 0.5000, 0.0000)
Ga (0.1560, 0.3440, 0.5000)
Ga (0.3440, 0.8440, 0.5000)
Ga (0.6560, 0.1560, 0.5000)
Ga (0.8440, 0.6560, 0.5000)
Sn (0.1259, 0.6259, 0.0000)
Sn (0.3741, 0.1259, 0.0000)
Sn (0.6259, 0.8741, 0.0000)
Sn (0.8741, 0.3741, 0.0000)